# 1
The following is a PBEsol calculation of a relaxed CsCaNi2Ru crystal, from Alexandria via LeMat-Bulk.

POSCAR file:
```
CsCaNi2Ru
1.0
4.951 0.000 0.000
0.000 4.951 0.000
0.000 0.000 4.918
Cs Ca Ni Ru
1 1 2 1
Direct
0.000 0.000 0.000
0.500 0.500 0.500
0.000 0.500 0.500
0.500 0.000 0.500
0.500 0.500 0.000
```

Properties
As for the crystal system: tetragonal. The value obtained for the final energy is -0.1234 Ha/atom. The space group is P4/mmm. For the total magnetic moment, the calculation gives 1.76 μB per cell.


# 2
The following is a PBEsol calculation of a relaxed CaSb2 crystal, from Alexandria via LeMat-Bulk.

POSCAR file:
```
CaSb2
1.0
5.777 -1.964 0.000
5.777 1.964 0.000
-0.728 0.000 7.526
Ca Sb
2 4
Direct
0.051 0.051 0.282
0.949 0.949 0.718
0.324 0.324 0.395
0.372 0.372 0.021
0.628 0.628 0.979
0.676 0.676 0.605
```

Properties
As for the crystal system: monoclinic. The value obtained for the final energy is -0.1558 Ha/atom. Its uncorrected formation energy is -11.3 kcal/mol of atoms. The space group is C2/m. For the total magnetic moment, the calculation gives 0.00 μB per cell.


# 3
The following is a PBEsol calculation of a relaxed La2Si2Sb crystal, from Alexandria via LeMat-Bulk.

POSCAR file:
```
La2Si2Sb
1.0
7.466 0.000 0.000
0.000 7.466 0.000
0.000 0.000 4.411
La Si Sb
4 4 2
Direct
0.179 0.321 0.000
0.321 0.821 0.000
0.679 0.179 0.000
0.821 0.679 0.000
0.112 0.612 0.500
0.388 0.112 0.500
0.612 0.888 0.500
0.888 0.388 0.500
0.000 0.000 0.500
0.500 0.500 0.500
```

Properties
As for the crystal system: tetragonal. The value obtained for the final energy is -0.2250 Ha/atom. Its uncorrected formation energy is -17.9 kcal/mol of atoms. The space group is P4/mbm. For the total magnetic moment, the calculation gives 0.00 μB per cell.


# 4
The following is a PBEsol calculation of a relaxed Zr3ReC crystal, from Alexandria via LeMat-Bulk.

POSCAR file:
```
Zr3ReC
1.0
4.439 0.000 0.000
0.000 4.439 0.000
0.000 0.000 4.439
Zr Re C
3 1 1
Direct
0.000 0.000 0.500
0.000 0.500 0.000
0.500 0.000 0.000
0.500 0.500 0.500
0.000 0.000 0.000
```

Properties
As for the crystal system: cubic. The value obtained for the final energy is -0.3749 Ha/atom. The space group is Pm-3m. For the total magnetic moment, the calculation gives 0.00 μB per cell.


# 5
The following is a PBEsol calculation of a relaxed LiNiP4O12 crystal, from Alexandria via LeMat-Bulk.

POSCAR file:
```
LiNiP4O12
1.0
4.651 -6.587 0.000
4.651 6.587 0.000
-1.429 0.000 7.285
Li Ni P O
2 2 8 24
Direct
0.147 0.853 0.500
0.853 0.147 0.000
0.181 0.448 0.070
0.448 0.181 0.570
0.080 0.741 0.896
0.099 0.251 0.652
0.251 0.099 0.152
0.359 0.516 0.490
0.516 0.359 0.990
0.576 0.885 0.652
0.741 0.080 0.396
0.885 0.576 0.152
0.028 0.286 0.825
0.058 0.737 0.697
0.135 0.946 0.991
0.153 0.232 0.164
0.184 0.435 0.580
0.211 0.669 0.994
0.232 0.153 0.664
0.286 0.028 0.325
0.315 0.589 0.321
0.384 0.455 0.970
0.421 0.958 0.636
0.435 0.184 0.080
0.455 0.384 0.470
0.478 0.676 0.647
0.589 0.315 0.821
0.651 0.890 0.460
0.669 0.211 0.494
0.676 0.478 0.147
0.720 0.958 0.810
0.737 0.058 0.197
0.890 0.651 0.960
0.946 0.135 0.491
0.958 0.421 0.136
0.958 0.720 0.310
```

Properties
As for the energy relative to the lowest polymorph listed for this composition: 1.9 kJ/mol of atoms. As for the crystal system: monoclinic. The value obtained for the final energy is -0.2638 Ha/atom. Its uncorrected formation energy is -44.8 kcal/mol of atoms. The space group is Cc. For the total magnetic moment, the calculation gives 1.98 μB per cell.


# 6
The following is a PBEsol calculation of a relaxed Ga2MoH crystal, from Alexandria via LeMat-Bulk.

POSCAR file:
```
Ga2MoH
1.0
0.000 3.015 3.015
3.015 0.000 3.015
3.015 3.015 0.000
Ga Mo H
2 1 1
Direct
0.250 0.250 0.250
0.750 0.750 0.750
0.000 0.000 0.000
0.500 0.500 0.500
```

Properties
As for the crystal system: cubic. The value obtained for the final energy is -0.1690 Ha/atom. The space group is Fm-3m. For the total magnetic moment, the calculation gives 1.20 μB per cell.


# 7
The following is a PBEsol calculation of a relaxed Li4Mn3Cr3Co2O16 crystal, from Alexandria via LeMat-Bulk.

POSCAR file:
```
Li4Mn3Cr3Co2O16
1.0
4.927 -2.830 0.000
4.927 2.830 0.000
-0.065 0.000 9.109
Li Mn Cr Co O
4 3 3 2 16
Direct
0.000 0.000 0.000
0.002 0.002 0.502
0.330 0.330 0.394
0.664 0.664 0.896
0.168 0.168 0.716
0.337 0.828 0.216
0.828 0.337 0.216
0.171 0.658 0.713
0.658 0.171 0.713
0.829 0.829 0.215
0.333 0.333 0.987
0.666 0.666 0.487
0.001 0.001 0.313
0.002 0.002 0.812
0.042 0.475 0.845
0.166 0.166 0.105
0.169 0.666 0.103
0.327 0.327 0.603
0.337 0.832 0.604
0.475 0.042 0.845
0.476 0.476 0.847
0.516 0.954 0.344
0.520 0.520 0.345
0.661 0.661 0.107
0.666 0.169 0.103
0.832 0.337 0.604
0.833 0.833 0.604
0.954 0.516 0.344
```

Properties
As for the crystal system: monoclinic. The value obtained for the final energy is -0.2837 Ha/atom. Its uncorrected formation energy is -40.2 kcal/mol of atoms. The space group is Cm. For the total magnetic moment, the calculation gives 16.83 μB per cell.


# 8
The following is a PBEsol calculation of a relaxed Na3MnN crystal, from Alexandria via LeMat-Bulk.

POSCAR file:
```
Na3MnN
1.0
4.745 0.000 0.000
0.000 4.745 0.000
0.000 0.000 4.745
Na Mn N
3 1 1
Direct
0.000 0.000 0.500
0.000 0.500 0.000
0.500 0.000 0.000
0.500 0.500 0.500
0.000 0.000 0.000
```

Properties
As for the crystal system: cubic. The value obtained for the final energy is -0.1357 Ha/atom. Its uncorrected formation energy is 18.6 kcal/mol of atoms. The space group is Pm-3m. For the total magnetic moment, the calculation gives 5.04 μB per cell.


# 9
The following is a PBEsol calculation of a relaxed Al2O3 crystal, from Alexandria via LeMat-Bulk.

POSCAR file:
```
Al2O3
1.0
2.407 1.390 4.481
-2.407 1.390 4.481
0.000 -2.780 4.481
Al O
4 6
Direct
0.000 0.000 0.000
0.193 0.193 0.193
0.500 0.500 0.500
0.807 0.807 0.807
0.104 0.391 0.779
0.221 0.896 0.609
0.391 0.779 0.104
0.609 0.221 0.896
0.779 0.104 0.391
0.896 0.609 0.221
```

Properties
As for the crystal system: trigonal. The value obtained for the final energy is -0.2864 Ha/atom. Its uncorrected formation energy is -69.3 kcal/mol of atoms. The space group is R-3. For the total magnetic moment, the calculation gives 0.00 μB per cell.


# 10
The following is a PBEsol calculation of a relaxed ZrOs crystal, from Alexandria via LeMat-Bulk.

POSCAR file:
```
ZrOs
1.0
0.000 2.677 2.677
2.677 0.000 2.677
2.677 2.677 0.000
Zr Os
1 1
Direct
0.000 0.000 0.000
0.500 0.500 0.500
```

Properties
As for the crystal system: cubic. The value obtained for the final energy is -0.3765 Ha/atom. The space group is Fm-3m. For the total magnetic moment, the calculation gives 0.00 μB per cell.


# 11
The following is a PBEsol calculation of a relaxed ZnIn3 crystal, from Alexandria via LeMat-Bulk.

POSCAR file:
```
ZnIn3
1.0
5.498 -1.628 0.000
5.498 1.628 0.000
-1.581 0.000 5.072
Zn In
1 3
Direct
0.000 0.000 0.000
0.274 0.274 0.769
0.500 0.500 0.500
0.726 0.726 0.231
```

Properties
As for the crystal system: monoclinic. The value obtained for the final energy is -0.0937 Ha/atom. The space group is C2/m. For the total magnetic moment, the calculation gives 0.00 μB per cell.


# 12
The following is a PBEsol calculation of a relaxed Be4Au crystal, from Alexandria via LeMat-Bulk.

POSCAR file:
```
Be4Au
1.0
-2.587 2.587 2.587
2.587 -2.587 2.587
2.587 2.587 -2.587
Be Au
4 1
Direct
0.000 0.000 0.500
0.000 0.500 0.000
0.500 0.000 0.000
0.500 0.500 0.500
0.000 0.000 0.000
```

Properties
As for the crystal system: cubic. The value obtained for the final energy is -0.1285 Ha/atom. The space group is Im-3m. For the total magnetic moment, the calculation gives 0.00 μB per cell.


# 13
The following is a PBEsol calculation of a relaxed Ir2RuPt crystal, from Alexandria via LeMat-Bulk.

POSCAR file:
```
Ir2RuPt
1.0
1.354 0.782 8.879
-1.354 0.782 8.879
0.000 -1.563 8.879
Ir Ru Pt
2 1 1
Direct
0.247 0.247 0.247
0.753 0.753 0.753
0.500 0.500 0.500
0.000 0.000 0.000
```

Properties
As for the energy relative to the lowest polymorph listed for this composition: 0.0 kJ/mol of atoms. As for the crystal system: trigonal. The value obtained for the final energy is -0.3381 Ha/atom. The space group is R-3m. For the total magnetic moment, the calculation gives 0.00 μB per cell.


# 14
The following is a PBEsol calculation of a relaxed Ta3PdF crystal, from Alexandria via LeMat-Bulk.

POSCAR file:
```
Ta3PdF
1.0
4.231 0.000 0.000
0.000 4.231 0.000
0.000 0.000 4.231
Ta Pd F
3 1 1
Direct
0.000 0.000 0.500
0.000 0.500 0.000
0.500 0.000 0.000
0.500 0.500 0.500
0.000 0.000 0.000
```

Properties
As for the crystal system: cubic. The value obtained for the final energy is -0.3298 Ha/atom. Its uncorrected formation energy is 3.1 kcal/mol of atoms. The space group is Pm-3m. For the total magnetic moment, the calculation gives 0.00 μB per cell.


# 15
The following is a PBEsol calculation of a relaxed GaSnB2Au crystal, from Alexandria via LeMat-Bulk.

POSCAR file:
```
GaSnB2Au
1.0
4.359 0.000 0.000
0.000 4.359 0.000
0.000 0.000 5.359
Ga Sn B Au
1 1 2 1
Direct
0.000 0.000 0.000
0.000 0.000 0.500
0.000 0.500 0.500
0.500 0.000 0.500
0.500 0.500 0.000
```

Properties
As for the crystal system: tetragonal. The value obtained for the final energy is -0.1250 Ha/atom. The space group is P4/mmm. For the total magnetic moment, the calculation gives 0.00 μB per cell.


# 16
The following is a PBEsol calculation of a relaxed Be2CdHgSb crystal, from Alexandria via LeMat-Bulk.

POSCAR file:
```
Be2CdHgSb
1.0
4.558 0.000 0.000
0.000 4.558 0.000
0.000 0.000 5.829
Be Cd Hg Sb
2 1 1 1
Direct
0.000 0.500 0.000
0.500 0.000 0.000
0.000 0.000 0.500
0.500 0.500 0.500
0.500 0.500 0.000
```

Properties
As for the crystal system: tetragonal. The value obtained for the final energy is -0.0713 Ha/atom. Its uncorrected formation energy is 21.3 kcal/mol of atoms. The space group is P4/mmm. For the total magnetic moment, the calculation gives 0.00 μB per cell.


# 17
The following is a PBEsol calculation of a relaxed ScZnNi6 crystal, from Alexandria via LeMat-Bulk.

POSCAR file:
```
ScZnNi6
1.0
3.573 -5.081 0.000
3.573 5.081 0.000
0.000 0.000 10.160
Sc Zn Ni
4 4 24
Direct
0.000 0.000 0.247
0.000 0.000 0.753
0.245 0.755 0.500
0.755 0.245 0.500
0.241 0.759 0.000
0.500 0.500 0.246
0.500 0.500 0.754
0.759 0.241 0.000
0.000 0.000 0.000
0.000 0.000 0.500
0.131 0.386 0.121
0.131 0.386 0.879
0.135 0.381 0.371
0.135 0.381 0.629
0.253 0.747 0.244
0.253 0.747 0.756
0.381 0.135 0.371
0.381 0.135 0.629
0.386 0.131 0.121
0.386 0.131 0.879
0.500 0.500 0.000
0.500 0.500 0.500
0.614 0.869 0.121
0.614 0.869 0.879
0.619 0.865 0.371
0.619 0.865 0.629
0.747 0.253 0.244
0.747 0.253 0.756
0.865 0.619 0.371
0.865 0.619 0.629
0.869 0.614 0.121
0.869 0.614 0.879
```

Properties
As for the crystal system: orthorhombic. The value obtained for the final energy is -0.2167 Ha/atom. The space group is Cmmm. For the total magnetic moment, the calculation gives 6.65 μB per cell.


# 18
The following is a PBEsol calculation of a relaxed YZn4Co crystal, from Alexandria via LeMat-Bulk.

POSCAR file:
```
YZn4Co
1.0
0.000 3.546 3.546
3.546 0.000 3.546
3.546 3.546 0.000
Y Zn Co
1 4 1
Direct
0.000 0.000 0.000
0.376 0.376 0.376
0.376 0.376 0.871
0.376 0.871 0.376
0.871 0.376 0.376
0.750 0.750 0.750
```

Properties
As for the crystal system: cubic. The value obtained for the final energy is -0.1356 Ha/atom. The space group is F-43m. For the total magnetic moment, the calculation gives 0.00 μB per cell.


# 19
The following is a PBEsol calculation of a relaxed La2HfBiW crystal, from Alexandria via LeMat-Bulk.

POSCAR file:
```
La2HfBiW
1.0
5.915 0.000 0.000
0.000 5.915 0.000
0.000 0.000 5.250
La Hf Bi W
2 1 1 1
Direct
0.000 0.500 0.000
0.500 0.000 0.000
0.000 0.000 0.500
0.000 0.000 0.000
0.500 0.500 0.500
```

Properties
As for the crystal system: tetragonal. The value obtained for the final energy is -0.2293 Ha/atom. The space group is P4/mmm. For the total magnetic moment, the calculation gives 3.00 μB per cell.


# 20
The following is a PBEsol calculation of a relaxed BaCaTe2 crystal, from Alexandria via LeMat-Bulk.

POSCAR file:
```
BaCaTe2
1.0
2.344 1.353 7.671
-2.344 1.353 7.671
0.000 -2.707 7.671
Ba Ca Te
1 1 2
Direct
0.000 0.000 0.000
0.500 0.500 0.500
0.241 0.241 0.241
0.759 0.759 0.759
```

Properties
As for the energy relative to the lowest polymorph listed for this composition: 0.0 kJ/mol of atoms. As for the crystal system: trigonal. The value obtained for the final energy is -0.1660 Ha/atom. Its uncorrected formation energy is -38.8 kcal/mol of atoms. The space group is R-3m. For the total magnetic moment, the calculation gives 0.00 μB per cell.


no.,volume (Å³/cell)
1,120.6
2,170.8
3,245.9
4,87.5
5,446.4
6,54.8
7,254.0
8,106.8
9,90.0
10,38.4
11,90.8
12,69.3
13,56.4
14,75.8
15,101.9
16,121.1
17,368.9
18,89.2
19,183.7
20,146.0